First-principles (PBE-GGA) data for crystalline Sm6MgZn at its relaxed geometry, as listed in Alexandria.

a = 5.193 Å, b = 5.193 Å, c = 17.828 Å
α = 90.00°, β = 90.00°, γ = 90.00°
Space group I4/mmm (No. 139)
Symmetry-distinct sites (fractional):
Sm 0.000 0.000 0.249
Sm 0.000 0.500 0.109
Mg 0.000 0.000 0.000
Zn 0.000 0.000 0.500

Output
The value obtained for the total DFT energy (no corrections) is -3.975 eV per atom. For the energy of formation, the calculation gives -0.077 eV per atom. The value obtained for the energy above the most stable polymorph in this dataset is 0.00 eV per formula unit.